No. 1
# BaCuSiTe3

A geometry-optimized BaCuSiTe3 structure (PBE, the Open Quantum Materials Database).

The calculation puts the uncorrected energy at -4.08 eV/atom.

abc: 7.6335 8.9475 13.2518
angles: 90.00 121.68 90.00
Fractional positions:
Ba  0.0000  0.1278  0.0000
Ba  0.0000  0.8722  0.5000
Ba  0.3468  0.3539  0.4893
Ba  0.3468  0.6461  0.9893
Cu  0.6316  0.4994  0.8885
Cu  0.6316  0.5006  0.3885
Cu  0.8076  0.1690  0.6964
Cu  0.8076  0.8310  0.1964
Si  0.0901  0.3550  0.6976
Si  0.0901  0.6450  0.1976
Si  0.3397  0.1687  0.8031
Si  0.3397  0.8313  0.3031
Te  0.0994  0.0359  0.2940
Te  0.0994  0.9641  0.7940
Te  0.2981  0.4252  0.1937
Te  0.2981  0.5748  0.6937
Te  0.4956  0.0442  0.6940
Te  0.4956  0.9558  0.1940
Te  0.5873  0.2854  0.0039
Te  0.5873  0.7146  0.5039
Te  0.8213  0.2524  0.4938
Te  0.8213  0.7476  0.9938
Te  0.8898  0.4387  0.7951
Te  0.8898  0.5613  0.2951

No. 2
# YCoNiP2

A geometry-optimized YCoNiP2 structure (PBE, the Open Quantum Materials Database).

The calculation puts the uncorrected energy at -6.98 eV/atom. Its magnetic moment is 0.080 μB/atom.

abc: 5.4213 5.4213 5.4213
angles: 138.37 138.37 60.34
Fractional positions:
Y  0.0000  0.0000  0.0000
Co  0.2500  0.7500  0.5000
Ni  0.7500  0.2500  0.5000
P  0.3755  0.3755  0.0000
P  0.6245  0.6245  0.0000

No. 3
# Lu3BeC

A geometry-optimized Lu3BeC structure (PBE, the Open Quantum Materials Database).

The calculation puts the uncorrected energy at -5.37 eV/atom. Its magnetic moment is 0.195 μB/atom.

abc: 4.7057 4.7057 4.7057
angles: 90.00 90.00 90.00
Fractional positions:
Lu  0.0000  0.0000  0.5000
Lu  0.0000  0.5000  0.0000
Lu  0.5000  0.0000  0.0000
Be  0.5000  0.5000  0.5000
C  0.0000  0.0000  0.0000

No. 4
# PmAsN2O

A geometry-optimized PmAsN2O structure (PBE, the Open Quantum Materials Database).

The calculation puts the uncorrected energy at -7.04 eV/atom. Its magnetic moment is 0.000 μB/atom.

abc: 3.5297 6.1540 5.6862
angles: 90.00 90.00 90.00
Fractional positions:
Pm  0.0000  0.1597  0.0000
Pm  0.0000  0.8403  0.5000
As  0.5000  0.3328  0.5264
As  0.5000  0.6672  0.0264
N  0.0000  0.2221  0.5726
N  0.0000  0.7779  0.0726
N  0.5000  0.4178  0.8648
N  0.5000  0.5822  0.3648
O  0.5000  0.0908  0.2928
O  0.5000  0.9092  0.7928

No. 5
# Dy10Si17

A geometry-optimized Dy10Si17 structure (PBE, the Open Quantum Materials Database).

The calculation puts the uncorrected energy at -5.80 eV/atom. Its magnetic moment is 0.000 μB/atom.

abc: 10.9683 10.9683 10.9683
angles: 135.61 58.06 144.54
Fractional positions:
Dy  0.0000  0.2445  0.2445
Dy  0.0000  0.7555  0.7555
Dy  0.1970  0.2493  0.4517
Dy  0.1970  0.7452  0.9477
Dy  0.3922  0.2402  0.6472
Dy  0.3922  0.7450  0.1520
Dy  0.5930  0.2402  0.8480
Dy  0.5930  0.7450  0.3528
Dy  0.7976  0.2493  0.0523
Dy  0.7976  0.7452  0.5483
Si  0.0466  0.1512  0.8955
Si  0.0588  0.6591  0.3997
Si  0.0881  0.8035  0.2846
Si  0.1851  0.3843  0.8008
Si  0.2557  0.1512  0.1045
Si  0.2594  0.6591  0.6003
Si  0.3291  0.3291  0.0000
Si  0.3724  0.8724  0.5000
Si  0.4641  0.1638  0.3003
Si  0.5189  0.8035  0.7154
Si  0.5835  0.3843  0.1992
Si  0.6737  0.7948  0.8789
Si  0.6800  0.6800  0.0000
Si  0.7217  0.3039  0.4178
Si  0.8634  0.1638  0.6997
Si  0.8861  0.3039  0.5822
Si  0.9159  0.7948  0.1211

No. 6
# HfZrAs2

A geometry-optimized HfZrAs2 structure (PBE, the Open Quantum Materials Database).

The calculation puts the uncorrected energy at -8.03 eV/atom. The excess energy over the best structure of this formula in the dataset comes out at 0 meV per atom. Its magnetic moment is 0.000 μB/atom.

abc: 3.8171 3.8171 12.8666
angles: 90.00 90.00 120.00
Fractional positions:
Hf  0.3333  0.6667  0.0000
Hf  0.6667  0.3333  0.5000
Zr  0.3333  0.6667  0.7336
Zr  0.6667  0.3333  0.2336
As  0.0000  0.0000  0.1144
As  0.0000  0.0000  0.6144
As  0.3333  0.6667  0.3687
As  0.6667  0.3333  0.8687